A plane-wave DFT calculation with PBE-GGA was carried out for a relaxed RbSr2Nb crystal.

Unit cell a=10.168 b=10.168 c=8.229 alpha=51.84 beta=51.84 gamma=90.00
Sites, in units of the cell vectors:
Rb 0.250 0.750 0.500
Sr 0.064 0.625 0.250
Rb 0.500 0.500 0.000
Nb 0.750 0.250 0.500
Sr 0.686 0.125 0.250
Sr 0.875 0.936 0.750
Nb 0.000 0.000 0.000
Sr 0.375 0.314 0.750

Summary:
**Space group**: I-42d, No. 122

=====

A plane-wave DFT calculation with PBE-GGA was carried out for a relaxed RbSr3Nb crystal.

Unit cell a=5.963 b=5.963 c=5.963 alpha=90.00 beta=90.00 gamma=90.00
Sites, in units of the cell vectors:
Sr 0.000 0.000 0.500
Rb 0.000 0.000 0.000
Nb 0.500 0.500 0.500
Sr 0.500 0.000 0.000
Sr 0.000 0.500 0.000

Summary:
**Space group**: Pm-3m, No. 221

=====

A plane-wave DFT calculation with PBE-GGA was carried out for a relaxed Rb2SrNb crystal.

Unit cell a=5.298 b=5.298 c=14.980 alpha=79.81 beta=79.81 gamma=90.00
Sites, in units of the cell vectors:
Sr 0.500 0.500 0.000
Rb 0.875 0.893 0.750
Sr 0.250 0.750 0.500
Rb 0.375 0.357 0.750
Nb 0.000 0.000 0.000
Rb 0.643 0.125 0.250
Rb 0.107 0.625 0.250
Nb 0.750 0.250 0.500

Summary:
**Space group**: I-42d, No. 122

=====

A plane-wave DFT calculation with PBE-GGA was carried out for a relaxed RbSr3Nb crystal.

Unit cell a=6.201 b=6.201 c=6.201 alpha=90.00 beta=90.00 gamma=90.00
Sites, in units of the cell vectors:
Nb 0.000 0.000 0.000
Rb 0.500 0.500 0.500
Sr 0.000 0.500 0.000
Sr 0.500 0.000 0.000
Sr 0.000 0.000 0.500

Summary:
**Space group**: Pm-3m, No. 221

=====

A plane-wave DFT calculation with PBE-GGA was carried out for a relaxed RbSr2Nb crystal.

Unit cell a=6.231 b=6.231 c=6.231 alpha=60.00 beta=60.00 gamma=60.00
Sites, in units of the cell vectors:
Nb 0.500 0.500 0.500
Sr 0.250 0.250 0.250
Rb 0.000 0.000 0.000
Sr 0.750 0.750 0.750

Summary:
**Space group**: Fm-3m, No. 225

=====

A plane-wave DFT calculation with PBE-GGA was carried out for a relaxed Rb3SrNb crystal.

Unit cell a=7.789 b=7.789 c=7.789 alpha=90.00 beta=90.00 gamma=90.00
Sites, in units of the cell vectors:
Rb 0.500 0.000 0.000
Nb 0.500 0.500 0.500
Rb 0.000 0.500 0.000
Sr 0.000 0.000 0.000
Rb 0.000 0.000 0.500

Summary:
**Space group**: Pm-3m, No. 221

=====

E_form, record by record: 1.08 1.77 1.19 0.74 0.91 1.57 eV/atom
DOS at the Fermi energy, record by record: 1.23 1.00 0.90 0.70 1.02 1.71 states/eV per atom